The following is a PBE calculation of a relaxed Pr2GdSb crystal, from Alexandria via LeMat-Bulk.

The space group is Fm-3m (No. 225) and the conventional cell measures 7.8623, 7.8623 and 7.8623 Å, with angles of 90.00, 90.00 and 90.00 degrees. The asymmetric unit holds Pr at (0.2500, 0.2500, 0.2500), Gd at (0.0000, 0.0000, 0.0000) and Sb at (0.0000, 0.0000, 0.5000).

For the formation energy without anion corrections, the calculation gives -1.401 eV/f.u. As for the energy above the most stable polymorph in this dataset: 191.8 meV/atom. The density of states at the Fermi level is 1.097 states/eV per atom. The value obtained for the magnetic moment is 7.6 μB per formula unit.

The following is a PBE calculation of a relaxed ZnSnIr3 crystal, from Alexandria via LeMat-Bulk.

The space group is Pm-3m (No. 221) and the conventional cell measures 4.5455, 4.5455 and 4.5455 Å, with angles of 90.00, 90.00 and 90.00 degrees. The asymmetric unit holds Zn at (0.0000, 0.0000, 0.0000), Sn at (0.5000, 0.5000, 0.5000) and Ir at (0.0000, 0.0000, 0.5000).

As for the energy above the most stable polymorph in this dataset: 0.0 meV/atom. The calculation puts the formation energy at 5.72 eV per formula unit. The density of states at the Fermi level is 1.249 states/eV per atom. The value obtained for the magnetic moment is 0.0 μB per formula unit.

The following is a PBE calculation of a relaxed Sc2Br crystal, from Alexandria via LeMat-Bulk.

The space group is I4_1/amd (No. 141, origin choice 2) and the conventional cell measures 5.5506, 5.5506 and 8.9652 Å, with angles of 90.00, 90.00 and 90.00 degrees. The asymmetric unit holds Sc at (0.0000, 0.2500, 0.0607) and Br at (0.0000, 0.2500, 0.3750).

For the formation energy without anion corrections, the calculation gives -1.491 eV/f.u. As for the energy above the most stable polymorph in this dataset: 168.9 meV/atom. The density of states at the Fermi level is 1.793 states/eV per atom. The value obtained for the magnetic moment is 0.2 μB per formula unit.